No. 1
{"formula": "Th3Tl4", "functional": "PBE-GGA", "state": "relaxed", "cell": [[4.5799, 0.0007, 0.0000], [-2.2891, 5.9098, 0.0005], [0.0000, 0.0008, 15.6101]], "species": ["Th", "Th", "Th", "Th", "Th", "Th", "Tl", "Tl", "Tl", "Tl", "Tl", "Tl", "Tl", "Tl"], "fractional_positions": [[0.6830, 0.3659, 0.1000], [0.3189, 0.6378, 0.9007], [0.6839, 0.3677, 0.4010], [0.3189, 0.6379, 0.5998], [0.9639, 0.9287, 0.2501], [0.0384, 0.0759, 0.7504], [0.2280, 0.4554, 0.2505], [0.7743, 0.5491, 0.7503], [0.3945, 0.7895, 0.1061], [0.0009, 0.0018, 0.0003], [0.3956, 0.7917, 0.3943], [0.6073, 0.2142, 0.8945], [0.0012, 0.0024, 0.5004], [0.6072, 0.2140, 0.6063]], "magmom_total_mub_per_atom": 0.0001, "space_group": "Cm, No. 8", "total_energy_ry_per_atom": -0.3352, "formation_energy_mev_per_atom": -29}

No. 2
{"formula": "Th7Tl", "functional": "PBE-GGA", "state": "relaxed", "cell": [[6.1187, 0.0000, 3.5327], [2.0396, 5.7688, 3.5327], [0.0000, 0.0000, 7.0653]], "species": ["Th", "Th", "Th", "Th", "Th", "Th", "Th", "Tl"], "fractional_positions": [[0.5000, 0.5000, 0.0000], [0.5000, 0.0000, 0.5000], [0.0000, 0.5000, 0.5000], [0.5000, 0.0000, 0.0000], [0.0000, 0.5000, 0.0000], [0.0000, 0.0000, 0.5000], [0.5000, 0.5000, 0.5000], [0.0000, 0.0000, 0.0000]], "magmom_total_mub_per_atom": 0.0000, "space_group": "Fm-3m, No. 225", "total_energy_ry_per_atom": -0.4995, "formation_energy_mev_per_atom": -8}

No. 3
{"formula": "Th2Tl", "functional": "PBE-GGA", "state": "relaxed", "cell": [[-5.4405, -0.9310, 3.4499], [-5.6632, -0.9804, -3.0551], [-2.7993, -5.8746, 0.1405]], "species": ["Tl", "Tl", "Th", "Th", "Th", "Th"], "fractional_positions": [[0.0000, 0.0000, 0.0000], [0.2500, 0.2500, 0.2500], [0.1250, 0.6250, 0.6250], [0.6250, 0.1250, 0.6250], [0.6250, 0.6250, 0.6250], [0.6250, 0.6250, 0.1250]], "magmom_total_mub_per_atom": 0.0000, "space_group": "Fd-3m, No. 227", "total_energy_ry_per_atom": -0.3948, "formation_energy_mev_per_atom": 364}

Copy entry 1 word for word.
{"formula": "Th3Tl4", "functional": "PBE-GGA", "state": "relaxed", "cell": [[4.5799, 0.0007, 0.0000], [-2.2891, 5.9098, 0.0005], [0.0000, 0.0008, 15.6101]], "species": ["Th", "Th", "Th", "Th", "Th", "Th", "Tl", "Tl", "Tl", "Tl", "Tl", "Tl", "Tl", "Tl"], "fractional_positions": [[0.6830, 0.3659, 0.1000], [0.3189, 0.6378, 0.9007], [0.6839, 0.3677, 0.4010], [0.3189, 0.6379, 0.5998], [0.9639, 0.9287, 0.2501], [0.0384, 0.0759, 0.7504], [0.2280, 0.4554, 0.2505], [0.7743, 0.5491, 0.7503], [0.3945, 0.7895, 0.1061], [0.0009, 0.0018, 0.0003], [0.3956, 0.7917, 0.3943], [0.6073, 0.2142, 0.8945], [0.0012, 0.0024, 0.5004], [0.6072, 0.2140, 0.6063]], "magmom_total_mub_per_atom": 0.0001, "space_group": "Cm, No. 8", "total_energy_ry_per_atom": -0.3352, "formation_energy_mev_per_atom": -29}